DFT (GGA-PBEsol) results for an optimized crystal structure of KIF2.

Output
N(E_F), states/eV/cell: 0.0
Raw total energy, eV/atom: -3.562
Calculated volume, Å³/atom: 25.4
M_tot, μB per cell: 0.0
Energy above the most stable polymorph in this dataset, kcal/mol of atoms: 0.000
Formation energy without anion corrections, eV/atom: -1.8733

Structure (POSCAR):
```
KIF2
1.0
-0.571 4.254 -0.646
-2.684 2.244 2.568
3.646 3.390 4.515
I F K
1 2 1
Direct
0.000 0.000 0.000 I
0.113 0.113 0.661 F
0.887 0.887 0.339 F
0.500 0.500 0.500 K
```